Here is a geometry-optimized Mn2TePb structure from Alexandria. Energies are from GGA-PBE.

- Calculated volume: 181.4 Å³/cell
- Raw formation energy: 0.393 eV per atom

The structure in CIF format:
```
data_Mn2TePb
_cell_length_a 4.087
_cell_length_b 4.087
_cell_length_c 10.862
_cell_angle_alpha 90.00
_cell_angle_beta 90.00
_cell_angle_gamma 90.00
_symmetry_space_group_name_H-M 'I -4 m 2'
_symmetry_Int_Tables_number 119
_symmetry_space_group_name_Hall 'I -4 -2'
loop_
_atom_site_label
_atom_site_fract_x
_atom_site_fract_y
_atom_site_fract_z
_atom_site_occupancy
Mn1 0.000 0.000 0.000 1
Mn2 0.000 0.500 0.250 1
Te1 0.000 0.000 0.500 1
Pb1 0.000 0.500 0.750 1
```

Here is a geometry-optimized Th5Mn2Pb2 structure from Alexandria. Energies are from GGA-PBE.

- Calculated volume: 1009.7 Å³/cell
- Calculated formation energy: -47 kJ/mol of formula units

The structure in CIF format:
```
data_Th5Mn2Pb2
_cell_length_a 16.450
_cell_length_b 8.384
_cell_length_c 7.321
_cell_angle_alpha 90.00
_cell_angle_beta 90.00
_cell_angle_gamma 90.00
_symmetry_space_group_name_H-M 'C m c e'
_symmetry_Int_Tables_number 64
_symmetry_space_group_name_Hall '-C 2ac 2'
loop_
_atom_site_label
_atom_site_fract_x
_atom_site_fract_y
_atom_site_fract_z
_atom_site_occupancy
Th1 0.000 0.000 0.000 1
Th2 0.113 0.177 0.348 1
Mn1 0.000 0.103 0.638 1
Pb1 0.218 0.000 0.000 1
```